No. 1
CuAg5Te3, optimized geometry, DFT PBE; formation energy from raw total energies = -0.003 eV/atom; space group = C2/c; calculated volume = 432.0 Å³/cell; E = -3.089 eV/atom
1.0
6.055 0.000 0.000
-3.027 7.240 -2.371
0.000 0.064 9.834
Cu Ag Te
2 10 6
Direct
0.792 0.000 0.750
0.208 0.000 0.250
0.269 0.000 0.750
0.579 0.643 0.919
0.915 0.334 0.148
0.421 0.357 0.081
0.581 0.666 0.352
0.731 0.000 0.250
0.064 0.643 0.419
0.936 0.357 0.581
0.419 0.334 0.648
0.085 0.666 0.852
0.000 0.000 0.000
0.593 0.316 0.356
0.000 0.000 0.500
0.407 0.684 0.644
0.722 0.316 0.856
0.278 0.684 0.144

No. 2
Ce4SnB3Rh12, optimized geometry, DFT PBE; energy of formation = -0.569 eV per atom; space group = Im-3m; calculated volume = 337.4 Å³/cell; E = -7.369 eV/atom
1.0
7.596 0.000 0.000
-2.532 7.162 0.000
-2.532 -3.581 6.202
Ce Sn B Rh
4 1 3 12
Direct
0.500 0.500 0.500
0.000 0.000 0.500
0.500 0.000 0.000
0.000 0.500 0.000
0.000 0.000 0.000
0.500 0.000 0.500
0.500 0.500 0.000
0.000 0.500 0.500
0.250 0.500 0.750
0.720 0.000 0.720
0.280 0.000 0.280
0.750 0.500 0.250
0.720 0.720 0.000
0.280 0.280 0.000
0.750 0.250 0.500
0.250 0.750 0.500
0.500 0.250 0.750
0.000 0.720 0.720
0.500 0.750 0.250
0.000 0.280 0.280

No. 3
ScCu2Pd2, optimized geometry, DFT PBE; energy of formation = -0.474 eV per atom; space group = C2/c; calculated volume = 150.2 Å³/cell; E = -5.456 eV/atom; distance to the lowest polymorph of the same formula = 0.00 eV/f.u.
1.0
4.882 0.000 0.000
0.000 7.183 1.046
-2.441 -2.417 3.930
Sc Cu Pd
2 4 4
Direct
0.663 0.750 0.000
0.337 0.250 0.000
0.259 0.952 0.217
0.043 0.548 0.783
0.741 0.048 0.783
0.957 0.452 0.217
0.859 0.152 0.378
0.519 0.652 0.378
0.141 0.848 0.622
0.481 0.348 0.622

Which of these has the highest calculated volume?
CuAg5Te3

Among the records above, which one has the highest calculated volume?
CuAg5Te3

Number 3 is which compound?
ScCu2Pd2